Version w
A plane-wave DFT calculation with PBE was carried out for a relaxed AlPb3 crystal.

POSCAR file:
```
AlPb3
1.0
5.988 -0.092 0.000
-1.982 5.651 0.000
0.000 0.000 3.425
Pb Al
3 1
Direct
0.000 0.500 0.500
0.500 0.000 0.500
0.500 0.500 0.000
0.000 0.000 0.000
```

Summary:
- M_tot (μB/cell) = 0.00
- calculated volume (Å³/f.u.) = 115.3

=====

Version x
A plane-wave DFT calculation with PBE was carried out for a relaxed AlPb3 crystal.

POSCAR file:
```
AlPb3
1.0
-0.796 6.080 2.341
-6.871 -1.711 2.110
3.321 -2.842 8.510
Pb Al
12 4
Direct
0.332 0.812 0.043
0.923 0.005 0.250
0.168 0.312 0.043
0.832 0.688 0.957
0.077 0.995 0.750
0.332 0.812 0.457
0.423 0.495 0.750
0.668 0.188 0.543
0.668 0.188 0.957
0.832 0.688 0.543
0.168 0.312 0.457
0.577 0.505 0.250
0.961 0.395 0.750
0.461 0.105 0.250
0.539 0.895 0.750
0.039 0.605 0.250
```

Summary:
- M_tot (μB/cell) = 0.00
- calculated volume (Å³/f.u.) = 116.0

=====

In order of decreasing stability: version x, version w.

=====

Version w
A plane-wave DFT calculation with PBE was carried out for a relaxed AlPb3 crystal.

POSCAR file:
```
AlPb3
1.0
3.467 0.000 0.000
0.000 3.423 0.000
0.000 0.000 9.536
Pb Al
3 1
Direct
0.500 0.500 0.220
0.000 0.000 0.500
0.500 0.500 0.780
0.000 0.000 0.000
```

Summary:
- M_tot (μB/cell) = 0.00
- calculated volume (Å³/f.u.) = 113.2

=====

Version x
A plane-wave DFT calculation with PBE was carried out for a relaxed AlPb3 crystal.

POSCAR file:
```
AlPb3
1.0
3.410 0.000 0.000
-1.705 2.953 0.000
0.000 0.000 11.352
Al Pb
1 3
Direct
0.000 0.000 0.000
0.000 0.000 0.500
0.667 0.333 0.226
0.667 0.333 0.774
```

Summary:
- M_tot (μB/cell) = 0.00
- calculated volume (Å³/f.u.) = 114.3

=====

Version y
A plane-wave DFT calculation with PBE was carried out for a relaxed AlPb3 crystal.

POSCAR file:
```
AlPb3
1.0
-4.897 -9.024 -0.278
-1.751 -9.945 -1.877
-2.009 -9.917 1.761
Pb Al
3 1
Direct
0.738 0.738 0.738
0.262 0.262 0.262
0.500 0.500 0.500
0.000 0.000 0.000
```

Summary:
- M_tot (μB/cell) = 0.00
- calculated volume (Å³/f.u.) = 115.8

=====

Version z
A plane-wave DFT calculation with PBE was carried out for a relaxed AlPb3 crystal.

POSCAR file:
```
AlPb3
1.0
-2.326 -2.757 5.325
0.957 -3.811 -5.092
4.072 4.916 0.786
Pb Al
3 1
Direct
0.500 0.000 0.500
0.000 0.500 0.500
0.500 0.500 0.000
0.000 0.000 0.000
```

Summary:
- M_tot (μB/cell) = 0.00
- calculated volume (Å³/f.u.) = 115.7

=====

In order of decreasing stability: version w, version y, version x, version z.